# 1
Material: KZrTcO6
Method: DFT, PBE
State: relaxed

Lattice parameters (Å, degrees): 5.4376 5.4376 5.9244 90.00 90.00 120.00
Fractional coordinates of all 9 atoms:
K (0.0000, 0.0000, 0.0000)
Zr (0.3333, 0.6667, 0.5000)
Tc (0.6667, 0.3333, 0.5000)
O (0.4099, 0.0281, 0.6881)
O (0.4099, 0.3819, 0.3119)
O (0.6181, 0.0281, 0.3119)
O (0.6181, 0.5901, 0.6881)
O (0.9719, 0.3819, 0.6881)
O (0.9719, 0.5901, 0.3119)

SG = P312
energy relative to the elements, uncorrected = -1.988 eV/atom

=====

# 2
Material: AlZnTc
Method: DFT, PBE
State: relaxed

Lattice parameters (Å, degrees): 4.7684 4.8155 5.1066 117.44 90.69 118.48
Fractional coordinates of all 6 atoms:
Al (0.0000, 0.0000, 0.0000)
Al (0.3213, 0.6374, 0.9951)
Zn (0.5135, 0.3229, 0.4932)
Zn (0.6770, 0.3096, 0.9861)
Tc (0.1757, 0.6740, 0.5163)
Tc (0.8463, 0.9695, 0.4712)

SG = P1
offset from the most stable computed form = 0.077 eV per formula unit
E_form = -3.4 kcal/mol of atoms

=====

# 3
Material: SbRuAu2
Method: DFT, PBE
State: relaxed

Lattice parameters (Å, degrees): 3.9410 3.9410 9.4236 90.00 90.00 90.00
Fractional coordinates of all 8 atoms:
Sb (0.0000, 0.0000, 0.0000)
Sb (0.5000, 0.5000, 0.5000)
Ru (0.0000, 0.0000, 0.5000)
Ru (0.5000, 0.5000, 0.0000)
Au (0.0000, 0.5000, 0.2500)
Au (0.0000, 0.5000, 0.7500)
Au (0.5000, 0.0000, 0.2500)
Au (0.5000, 0.0000, 0.7500)

SG = I4/mmm
energy relative to the elements, uncorrected = 0.285 eV/atom

=====

# 4
Material: RbLaCo2
Method: DFT, PBE
State: relaxed

Lattice parameters (Å, degrees): 7.2869 7.2869 7.2869 90.00 90.00 90.00
Fractional coordinates of all 16 atoms:
Rb (0.0000, 0.0000, 0.0000)
Rb (0.0000, 0.5000, 0.5000)
Rb (0.5000, 0.0000, 0.5000)
Rb (0.5000, 0.5000, 0.0000)
La (0.0000, 0.0000, 0.5000)
La (0.0000, 0.5000, 0.0000)
La (0.5000, 0.0000, 0.0000)
La (0.5000, 0.5000, 0.5000)
Co (0.2500, 0.2500, 0.2500)
Co (0.2500, 0.2500, 0.7500)
Co (0.2500, 0.7500, 0.2500)
Co (0.2500, 0.7500, 0.7500)
Co (0.7500, 0.2500, 0.2500)
Co (0.7500, 0.2500, 0.7500)
Co (0.7500, 0.7500, 0.2500)
Co (0.7500, 0.7500, 0.7500)

SG = Fm-3m
offset from the most stable computed form = 0.634 eV per formula unit
E_form = 22.3 kcal/mol of atoms

=====

# 5
Material: BaAc2Ru
Method: DFT, PBE
State: relaxed

Lattice parameters (Å, degrees): 4.3562 4.3562 30.8114 90.00 90.00 120.00
Fractional coordinates of all 12 atoms:
Ba (0.0000, 0.0000, 0.0000)
Ba (0.3333, 0.6667, 0.6667)
Ba (0.6667, 0.3333, 0.3333)
Ac (0.0000, 0.0000, 0.5479)
Ac (0.0000, 0.0000, 0.7812)
Ac (0.3333, 0.6667, 0.2146)
Ac (0.3333, 0.6667, 0.4479)
Ac (0.6667, 0.3333, 0.1146)
Ac (0.6667, 0.3333, 0.8813)
Ru (0.0000, 0.0000, 0.1641)
Ru (0.3333, 0.6667, 0.8308)
Ru (0.6667, 0.3333, 0.4974)

SG = R3m
offset from the most stable computed form = 0.000 eV per formula unit
E_form = -2.8 kcal/mol of atoms

=====

# 6
Material: KSc3Nb
Method: DFT, PBE
State: relaxed

Lattice parameters (Å, degrees): 5.3524 5.3524 5.3524 90.00 90.00 90.00
Fractional coordinates of all 5 atoms:
K (0.0000, 0.0000, 0.0000)
Sc (0.0000, 0.5000, 0.5000)
Sc (0.5000, 0.0000, 0.5000)
Sc (0.5000, 0.5000, 0.0000)
Nb (0.5000, 0.5000, 0.5000)

SG = Pm-3m
offset from the most stable computed form = 0.000 eV per formula unit
E_form = 15.0 kcal/mol of atoms

=====

# 7
Material: La15Nd4Y
Method: DFT, PBE
State: relaxed

Lattice parameters (Å, degrees): 5.2427 5.2427 26.3031 90.00 90.00 90.00
Fractional coordinates of all 20 atoms:
La (0.0000, 0.0000, 0.0000)
La (0.0000, 0.0000, 0.1998)
La (0.0000, 0.0000, 0.4000)
La (0.0000, 0.0000, 0.6000)
La (0.0000, 0.0000, 0.8002)
La (0.0000, 0.5000, 0.0995)
La (0.0000, 0.5000, 0.2996)
La (0.0000, 0.5000, 0.5000)
La (0.0000, 0.5000, 0.7004)
La (0.0000, 0.5000, 0.9005)
La (0.5000, 0.0000, 0.0995)
La (0.5000, 0.0000, 0.2996)
La (0.5000, 0.0000, 0.5000)
La (0.5000, 0.0000, 0.7004)
La (0.5000, 0.0000, 0.9005)
Nd (0.5000, 0.5000, 0.1994)
Nd (0.5000, 0.5000, 0.3999)
Nd (0.5000, 0.5000, 0.6001)
Nd (0.5000, 0.5000, 0.8006)
Y (0.5000, 0.5000, 0.0000)

SG = P4/mmm
E_form = 0.2 kcal/mol of atoms

=====

# 8
Material: BiTe2IN
Method: DFT, PBE
State: relaxed

Lattice parameters (Å, degrees): 5.9953 5.9953 5.9892 90.00 90.00 90.00
Fractional coordinates of all 5 atoms:
Bi (0.0000, 0.0000, 0.0000)
Te (0.0000, 0.5000, 0.0000)
Te (0.5000, 0.0000, 0.0000)
I (0.0000, 0.0000, 0.5000)
N (0.5000, 0.5000, 0.5000)

SG = P4/mmm
offset from the most stable computed form = 5.434 eV per formula unit
energy relative to the elements, uncorrected = 1.805 eV/atom

=====

What did the eighth record say?
Material: BiTe2IN
Method: DFT, PBE
State: relaxed

Lattice parameters (Å, degrees): 5.9953 5.9953 5.9892 90.00 90.00 90.00
Fractional coordinates of all 5 atoms:
Bi (0.0000, 0.0000, 0.0000)
Te (0.0000, 0.5000, 0.0000)
Te (0.5000, 0.0000, 0.0000)
I (0.0000, 0.0000, 0.5000)
N (0.5000, 0.5000, 0.5000)

SG = P4/mmm
offset from the most stable computed form = 5.434 eV per formula unit
energy relative to the elements, uncorrected = 1.805 eV/atom